[1]
# Hf2MgHg2 | the Alexandria database | PBE | relaxed
data_Hf2MgHg2
_space_group_name_H-M_alt 'P 4/m b m'
_space_group_IT_number 127
_space_group_name_Hall '-P 4 2ab'
_cell_length_a 8.506
_cell_length_b 8.506
_cell_length_c 3.189
_cell_angle_alpha 90.00
_cell_angle_beta 90.00
_cell_angle_gamma 90.00
loop_
_atom_site_label
_atom_site_type_symbol
_atom_site_fract_x
_atom_site_fract_y
_atom_site_fract_z
Hf1 Hf 0.124 0.376 0.000
Mg1 Mg 0.000 0.000 0.000
Hg1 Hg 0.174 0.674 0.500
# Magnetization ... 0.00 μB/f.u.
# Energy of formation ... 0.20 eV per atom
# Polymorph energy (0 for the lowest one) ... 0.84 eV per formula unit

---

[2]
# HfMgHg | the Alexandria database | PBE | relaxed
data_HfMgHg
_space_group_name_H-M_alt 'P 63/m m c'
_space_group_IT_number 194
_space_group_name_Hall '-P 6c 2c'
_cell_length_a 4.4455
_cell_length_b 4.4455
_cell_length_c 10.9959
_cell_angle_alpha 90.00
_cell_angle_beta 90.00
_cell_angle_gamma 120.00
loop_
_atom_site_label
_atom_site_type_symbol
_atom_site_fract_x
_atom_site_fract_y
_atom_site_fract_z
Hf1 Hf 0.0000 0.0000 0.0000
Mg1 Mg 0.3333 0.6667 0.2500
Hg1 Hg 0.0000 0.0000 0.2500
# Magnetization ... 0.00 μB/f.u.
# Energy of formation ... 1.09 eV per atom

---

[3]
# HfMg3Hg | the Alexandria database | PBE | relaxed
data_HfMg3Hg
_space_group_name_H-M_alt 'P m -3 m'
_space_group_IT_number 221
_space_group_name_Hall '-P 4 2 3'
_cell_length_a 5.075
_cell_length_b 5.075
_cell_length_c 5.075
_cell_angle_alpha 90.00
_cell_angle_beta 90.00
_cell_angle_gamma 90.00
loop_
_atom_site_label
_atom_site_type_symbol
_atom_site_fract_x
_atom_site_fract_y
_atom_site_fract_z
Hf1 Hf 0.000 0.000 0.000
Mg1 Mg 0.000 0.500 0.500
Hg1 Hg 0.500 0.500 0.500
# Magnetization ... 0.00 μB/f.u.
# Energy of formation ... 0.62 eV per atom
# Polymorph energy (0 for the lowest one) ... 0.00 eV per formula unit

---

[4]
# Hf2MgHgN | the Alexandria database | PBE | relaxed
data_Hf2MgHgN
_space_group_name_H-M_alt 'P 4/m m m'
_space_group_IT_number 123
_space_group_name_Hall '-P 4 2'
_cell_length_a 4.415
_cell_length_b 4.415
_cell_length_c 4.377
_cell_angle_alpha 90.00
_cell_angle_beta 90.00
_cell_angle_gamma 90.00
loop_
_atom_site_label
_atom_site_type_symbol
_atom_site_fract_x
_atom_site_fract_y
_atom_site_fract_z
Hf1 Hf 0.000 0.500 0.000
Mg1 Mg 0.000 0.000 0.500
Hg1 Hg 0.500 0.500 0.500
N1 N 0.000 0.000 0.000
# Raw formation energy ... -0.664 eV per atom
# Magnetization ... 0.00 μB/f.u.

---

| no. | DFT total energy (eV/atom) |
| --- | --- |
| 1 | -4.222 |
| 2 | -2.860 |
| 3 | -2.389 |
| 4 | -6.690 |